# 1
Material: YRe2P
Method: DFT, PBE
State: optimized geometry

Unit cell a=3.0279 b=3.0279 c=7.3775 alpha=90.00 beta=90.00 gamma=90.00
Space group P4mm (No. 99)
Asymmetric unit:
Y  0.0000  0.0000  0.0000 (multiplicity 1)
Re  0.0000  0.0000  0.4723 (multiplicity 1)
Re  0.5000  0.5000  0.7058 (multiplicity 1)
P  0.5000  0.5000  0.3001 (multiplicity 1)

Values from the calculation:
Raw total energy = -9.36 eV/atom
Size of the total moment = 0.00 μB per cell
Formation energy from the elements = -15.7 kJ per mole of atoms



# 2
Material: YRe2P
Method: DFT, PBE
State: optimized geometry

Unit cell a=5.3779 b=10.4290 c=3.0085 alpha=90.00 beta=123.28 gamma=90.00
Space group C2/m (No. 12)
Asymmetric unit:
Y  0.0000  0.0000  0.0000 (multiplicity 2)
Re  0.2500  0.2500  0.5000 (multiplicity 4)
P  0.0000  0.5000  0.0000 (multiplicity 2)

Values from the calculation:
Raw total energy = -8.89 eV/atom
Size of the total moment = 0.00 μB per cell
Formation energy from the elements = 29.1 kJ per mole of atoms



# 3
Material: YRe2P
Method: DFT, PBE
State: optimized geometry

Unit cell a=3.7386 b=3.7386 c=10.0911 alpha=90.00 beta=90.00 gamma=90.00
Space group I4/mmm (No. 139)
Asymmetric unit:
Y  0.0000  0.0000  0.0000 (multiplicity 2)
Re  0.0000  0.5000  0.2500 (multiplicity 4)
P  0.0000  0.0000  0.5000 (multiplicity 2)

Values from the calculation:
Raw total energy = -8.99 eV/atom
Size of the total moment = 0.00 μB per cell
Formation energy from the elements = 19.2 kJ per mole of atoms



# 4
Material: YRe2P
Method: DFT, PBE
State: optimized geometry

Unit cell a=3.1746 b=4.5361 c=9.2942 alpha=90.00 beta=90.00 gamma=90.00
Space group Imm2 (No. 44)
Asymmetric unit:
Y  0.0000  0.0000  0.0000 (multiplicity 2)
Re  0.0000  0.0000  0.5210 (multiplicity 2)
Re  0.0000  0.5000  0.7758 (multiplicity 2)
P  0.0000  0.5000  0.2267 (multiplicity 2)

Values from the calculation:
Raw total energy = -8.96 eV/atom
Size of the total moment = 0.01 μB per cell
Formation energy from the elements = 22.4 kJ per mole of atoms



# 5
Material: YRe2P
Method: DFT, PBE
State: optimized geometry

Unit cell a=9.4105 b=3.0930 c=5.0131 alpha=90.00 beta=110.26 gamma=90.00
Space group C2/m (No. 12)
Asymmetric unit:
Y  0.0000  0.0000  0.0000 (multiplicity 2)
Re  0.2138  0.0000  0.6850 (multiplicity 4)
P  0.0000  0.5000  0.5000 (multiplicity 2)

Values from the calculation:
Raw total energy = -9.16 eV/atom
Size of the total moment = 0.00 μB per cell
Formation energy from the elements = 3.6 kJ per mole of atoms



# 6
Material: YReP
Method: DFT, PBE
State: optimized geometry

Unit cell a=3.1844 b=3.1844 c=10.5408 alpha=90.00 beta=90.00 gamma=90.00
Space group I4mm (No. 107)
Asymmetric unit:
Y  0.0000  0.0000  0.0000 (multiplicity 2)
Re  0.0000  0.0000  0.7045 (multiplicity 2)
P  0.0000  0.0000  0.3001 (multiplicity 2)

Values from the calculation:
E above lowest polymorph = 8 kJ/mol of formula units
Raw total energy = -8.55 eV/atom
Size of the total moment = 0.00 μB per cell
Formation energy from the elements = -42.4 kJ per mole of atoms



# 7
Material: YReP2
Method: DFT, PBE
State: optimized geometry

Unit cell a=3.2528 b=3.2528 c=6.3502 alpha=90.00 beta=90.00 gamma=90.00
Space group P4mm (No. 99)
Asymmetric unit:
Y  0.0000  0.0000  0.0000 (multiplicity 1)
Re  0.5000  0.5000  0.6410 (multiplicity 1)
P  0.0000  0.0000  0.4922 (multiplicity 1)
P  0.5000  0.5000  0.2589 (multiplicity 1)

Values from the calculation:
E above lowest polymorph = 134 kJ/mol of formula units
Raw total energy = -7.79 eV/atom
Size of the total moment = 0.00 μB per cell
Formation energy from the elements = -34.1 kJ per mole of atoms



# 8
Material: YRe2P
Method: DFT, PBE
State: optimized geometry

Unit cell a=4.1740 b=4.1740 c=15.5015 alpha=90.00 beta=90.00 gamma=120.00
Space group R3m (No. 160, hexagonal axes)
Asymmetric unit:
Y  0.0000  0.0000  0.0000 (multiplicity 3)
Re  0.0000  0.0000  0.1973 (multiplicity 3)
Re  0.0000  0.0000  0.4995 (multiplicity 3)
P  0.0000  0.0000  0.7795 (multiplicity 3)

Values from the calculation:
Raw total energy = -9.48 eV/atom
Size of the total moment = 0.00 μB per cell
Formation energy from the elements = -27.5 kJ per mole of atoms



Question: Which value of formation energy from the elements does entry 8 give?
Answer: -27.5 kJ per mole of atoms